No. 1
PmScCu4, optimized geometry, DFT PBE; final energy = -4.7252 eV per atom; crystal system = cubic; energy of formation = -0.147 eV/atom; DOS(E_F) = 3.89 states/eV/cell; total magnetization = 0.00 μB/cell; offset from the most stable computed form = 60 meV per atom
1.0
-1.3504 4.2544 -2.6809
-0.7485 -0.2931 -5.1444
-4.8049 0.4258 -1.9601
Cu Sc Pm
4 1 1
direct
0.6236 0.6236 0.6236
0.6236 0.1292 0.6236
0.6236 0.6236 0.1292
0.1292 0.6236 0.6236
0.2500 0.2500 0.2500
0.0000 0.0000 0.0000

No. 2
NdYTmIn, optimized geometry, DFT PBE; final energy = -4.7238 eV per atom; crystal system = cubic; energy of formation = -0.113 eV/atom; DOS(E_F) = 6.01 states/eV/cell; total magnetization = 0.97 μB/cell; offset from the most stable computed form = 150 meV per atom
1.0
-3.3623 0.2653 4.3390
-2.5329 -4.5349 1.7949
1.4923 -2.2733 4.7757
In Y Tm Nd
1 1 1 1
direct
0.5000 0.5000 0.5000
0.0000 0.0000 0.0000
0.7500 0.7500 0.7500
0.2500 0.2500 0.2500

No. 3
Ba2SmSnO6, optimized geometry, DFT PBE; final energy = -6.6662 eV per atom; formation energy without anion corrections = -2.43 eV per atom; crystal system = cubic; DOS(E_F) = 8.20 states/eV/cell; total magnetization = 1.00 μB/cell
1.0
-5.3689 2.9696 0.7218
-2.9474 -4.6447 -2.8154
-4.7267 -2.8112 2.8108
O Ba Sn Sm
6 2 1 1
direct
0.2619 0.7381 0.0000
0.7381 0.2619 0.0000
0.2619 0.2619 0.4761
0.2619 0.2619 0.0000
0.7381 0.7381 0.0000
0.7381 0.7381 0.5239
0.2500 0.7500 0.5001
0.7500 0.2500 0.4999
0.5000 0.5000 0.0000
0.0000 0.0000 0.0000

No. 4
HoThCoAg, optimized geometry, DFT PBE; final energy = -5.5846 eV per atom; crystal system = cubic; energy of formation = -0.096 eV/atom; DOS(E_F) = 2.35 states/eV/cell; total magnetization = 0.00 μB/cell
1.0
-0.4287 -1.0741 4.8933
4.1227 -0.7304 2.7842
1.3408 3.4050 3.4482
Ho Th Ag Co
1 1 1 1
direct
0.5000 0.5000 0.5000
0.0000 0.0000 0.0000
0.2500 0.2500 0.2500
0.7500 0.7500 0.7500

No. 5
BeRe2Pb, optimized geometry, DFT PBE; final energy = -7.3583 eV per atom; crystal system = monoclinic; energy of formation = 0.724 eV/atom; DOS(E_F) = 2.19 states/eV/cell; total magnetization = 0.00 μB/cell; offset from the most stable computed form = 399 meV per atom
1.0
-1.3477 3.2448 -2.0199
-2.4004 -1.6278 -1.0135
-4.0520 0.6239 3.7059
Re Be Pb
2 1 1
direct
0.0000 0.4068 0.4388
0.0000 0.0932 0.0612
0.5000 0.2500 0.2500
0.5000 0.7500 0.7500

No. 6
Nd2Tm6Sc5, optimized geometry, DFT PBE; final energy = -5.1117 eV per atom; crystal system = orthorhombic; energy of formation = 0.121 eV/atom; DOS(E_F) = 38.05 states/eV/cell; total magnetization = 0.00 μB/cell
1.0
-0.3625 -3.4305 0.1667
10.9434 -1.0194 2.8208
-4.6940 1.4054 18.7187
Tm Sc Nd
12 10 4
direct
0.0000 0.5559 0.4207
0.0000 0.9122 0.6337
0.5000 0.1759 0.6195
0.0000 0.9441 0.9207
0.5000 0.3241 0.1195
0.0000 0.5878 0.1337
0.5000 0.6759 0.8805
0.0000 0.0559 0.0793
0.0000 0.4441 0.5793
0.0000 0.4122 0.8663
0.5000 0.8241 0.3805
0.0000 0.0878 0.3663
0.5000 0.5000 0.0000
0.5000 0.3011 0.4516
0.5000 0.0000 0.5000
0.5000 0.6070 0.2784
0.5000 0.1989 0.9516
0.5000 0.1070 0.2216
0.5000 0.3930 0.7216
0.5000 0.8011 0.0484
0.5000 0.8930 0.7784
0.5000 0.6989 0.5484
0.0000 0.6525 0.7180
0.0000 0.1525 0.7820
0.0000 0.3475 0.2820
0.0000 0.8475 0.2180